1.
VASP calculation (GGA-PBE) on a relaxed TmTaOsPd crystal.

It has space group F-43m (No. 216), with a = 6.5894 Å, b = 6.5894 Å, c = 6.5894 Å, α = 90.00°, β = 90.00° and γ = 90.00°. The asymmetric unit holds Tm at (0.0000, 0.0000, 0.0000), Ta at (0.0000, 0.0000, 0.5000), Os at (0.2500, 0.2500, 0.2500) and Pd at (0.2500, 0.2500, 0.7500).

The formation energy is -1.38 eV per formula unit. The calculation puts the volume at 71.53 Å³/f.u.

***

2.
VASP calculation (GGA-PBE) on a relaxed TaVOsPd crystal.

It has space group F-43m (No. 216), with a = 6.2891 Å, b = 6.2891 Å, c = 6.2891 Å, α = 90.00°, β = 90.00° and γ = 90.00°. The asymmetric unit holds Ta at (0.0000, 0.0000, 0.0000), V at (0.0000, 0.0000, 0.5000), Os at (0.2500, 0.2500, 0.2500) and Pd at (0.2500, 0.2500, 0.7500).

The formation energy is -0.48 eV per formula unit. The calculation puts the volume at 62.19 Å³/f.u.

***

3.
VASP calculation (GGA-PBE) on a relaxed YTaOsPd2 crystal.

It has space group P4/mmm (No. 123), with a = 4.7395 Å, b = 4.7395 Å, c = 5.0240 Å, α = 90.00°, β = 90.00° and γ = 90.00°. The asymmetric unit holds Y at (0.0000, 0.0000, 0.0000), Ta at (0.5000, 0.5000, 0.5000), Os at (0.0000, 0.0000, 0.5000) and Pd at (0.0000, 0.5000, 0.0000).

The formation energy is 8.38 eV per formula unit. The calculation puts the volume at 112.86 Å³/f.u.

***

4.
VASP calculation (GGA-PBE) on a relaxed Zr2TaOsPd crystal.

It has space group P4/mmm (No. 123), with a = 5.0590 Å, b = 5.0590 Å, c = 4.6189 Å, α = 90.00°, β = 90.00° and γ = 90.00°. The asymmetric unit holds Zr at (0.0000, 0.5000, 0.0000), Ta at (0.0000, 0.0000, 0.0000), Os at (0.5000, 0.5000, 0.5000) and Pd at (0.0000, 0.0000, 0.5000).

The formation energy is 7.52 eV per formula unit. The calculation puts the volume at 118.22 Å³/f.u.

***

5.
VASP calculation (GGA-PBE) on a relaxed Tb8Os2Pd crystal.

It has space group Cm (No. 8), with a = 8.5479 Å, b = 12.5631 Å, c = 5.8482 Å, α = 90.00°, β = 107.41° and γ = 90.00°. The asymmetric unit holds Tb at (0.0000, 0.0000, 0.0000), Tb at (0.0758, 0.3683, 0.7934), Tb at (0.1666, 0.1318, 0.5966), Tb at (0.2390, 0.5000, 0.3936), Tb at (0.3691, 0.2231, 0.1972), Os at (0.3720, 0.3112, 0.6975) and Pd at (0.3693, 0.0000, 0.3171).

The formation energy is -2.60 eV per formula unit. The calculation puts the volume at 299.63 Å³/f.u.

***

6.
VASP calculation (GGA-PBE) on a relaxed Tb3OsPd2 crystal.

It has space group Cmmm (No. 65), with a = 4.9123 Å, b = 14.7195 Å, c = 7.0444 Å, α = 90.00°, β = 90.00° and γ = 90.00°. The asymmetric unit holds Tb at (0.0000, 0.0000, 0.2428), Tb at (0.0000, 0.3304, 0.2400), Os at (0.0000, 0.1651, 0.0000), Pd at (0.0000, 0.1665, 0.5000), Pd at (0.0000, 0.5000, 0.0000) and Pd at (0.0000, 0.5000, 0.5000).

The formation energy is -3.89 eV per formula unit. The calculation puts the volume at 127.34 Å³/f.u.